No. 1
The following is a DFT calculation (PBE) of Mn4NiPb after structural relaxation.

Computed properties:
- DOS(E_F): 11.08 states/eV/f.u.
- Space group: F-43m
- E_tot: -7.1949 eV/atom

Cell lengths 4.865, 4.865, 4.865 Å; angles 60.00, 60.00, 60.00 degrees
Each line ends with the local moment (μB).
Element x y z (fractional)
1 Mn 0.873 0.376 0.376  1.57
2 Mn 0.376 0.376 0.873  1.57
3 Mn 0.376 0.873 0.376  1.57
4 Mn 0.376 0.376 0.376  1.57
5 Ni 0.750 0.750 0.750  0.59
6 Pb 0.000 0.000 0.000  -0.07

No. 2
The following is a DFT calculation (PBE) of MnNiPb after structural relaxation.

Computed properties:
- E above lowest polymorph: 0.163 eV/atom
- DOS(E_F): 2.66 states/eV/f.u.
- Space group: P3m1
- E_tot: -5.8395 eV/atom

Cell lengths 4.366, 4.366, 3.142 Å; angles 90.00, 90.00, 120.00 degrees
Each line ends with the local moment (μB).
Element x y z (fractional)
1 Mn 0.000 0.000 0.035  3.62
2 Ni 0.333 0.667 0.377  0.21
3 Pb 0.667 0.333 0.588  -0.08